PuNF: optimized geometry, PBE.

Structure (extended XYZ):
```
3
Lattice="-1.412 0.753 3.535 -3.526 -1.281 0.995 -0.364 -2.863 2.595" Properties=species:S:1:pos:R:3 pbc="T T T"
Pu -1.325 -0.848 1.781
N -2.651 -1.695 3.562
F 0.000 0.000 0.000
```

D(E_F) in states/eV/cell: 2.51
Electronic total energy in eV/cell: -30.8